{
  "formula": "KY2W",
  "functional": "GGA-PBE",
  "state": "optimized geometry",
  "lattice_angstrom": [[4.170, -1.664, 0.000], [4.170, 1.664, 0.000], [-0.698, 0.000, 9.919]],
  "species": ["K", "Y", "Y", "W"],
  "fractional_positions": [[0.000, 0.000, 0.000], [0.229, 0.229, 0.661], [0.771, 0.771, 0.339], [0.500, 0.500, 0.500]],
  "dft_energy_ev_per_atom": -5.988,
  "space_group": "No. 12",
  "n_ef_per_ev_cell": 4.98,
  "de_polymorph_mev_per_atom": 277.3,
  "crystal_system": "monoclinic",
  "ef_ev_per_fu": 3.0
}



{
  "formula": "KY2W2",
  "functional": "GGA-PBE",
  "state": "optimized geometry",
  "lattice_angstrom": [[9.227, 0.000, 0.000], [0.000, 9.227, 0.000], [0.000, 0.000, 3.003]],
  "species": ["K", "K", "Y", "Y", "Y", "Y", "W", "W", "W", "W"],
  "fractional_positions": [[0.000, 0.000, 0.000], [0.500, 0.500, 0.000], [0.189, 0.311, 0.000], [0.311, 0.811, 0.000], [0.689, 0.189, 0.000], [0.811, 0.689, 0.000], [0.096, 0.596, 0.500], [0.404, 0.096, 0.500], [0.596, 0.904, 0.500], [0.904, 0.404, 0.500]],
  "dft_energy_ev_per_atom": -7.146,
  "space_group": "No. 127",
  "n_ef_per_ev_cell": 12.53,
  "de_polymorph_mev_per_atom": 197.8,
  "crystal_system": "tetragonal",
  "ef_ev_per_fu": 4.2
}



{
  "formula": "KYW2",
  "functional": "GGA-PBE",
  "state": "optimized geometry",
  "lattice_angstrom": [[2.794, -5.493, 0.000], [2.794, 5.493, 0.000], [-0.429, 0.000, 2.747]],
  "species": ["K", "Y", "W", "W"],
  "fractional_positions": [[0.000, 0.000, 0.000], [0.500, 0.500, 0.000], [0.000, 0.500, 0.500], [0.500, 0.000, 0.500]],
  "dft_energy_ev_per_atom": -7.019,
  "space_group": "No. 12",
  "n_ef_per_ev_cell": 3.27,
  "de_polymorph_mev_per_atom": 677.0,
  "crystal_system": "monoclinic",
  "ef_ev_per_fu": 5.4
}



{
  "formula": "KY2W",
  "functional": "GGA-PBE",
  "state": "optimized geometry",
  "lattice_angstrom": [[3.255, 0.000, 0.000], [0.000, 4.684, 0.000], [0.000, 0.000, 8.696]],
  "species": ["K", "Y", "Y", "W"],
  "fractional_positions": [[0.000, 0.000, 0.000], [0.000, 0.000, 0.413], [0.500, 0.500, 0.640], [0.500, 0.500, 0.303]],
  "dft_energy_ev_per_atom": -5.850,
  "space_group": "No. 25",
  "n_ef_per_ev_cell": 4.75,
  "de_polymorph_mev_per_atom": 415.3,
  "crystal_system": "orthorhombic",
  "ef_ev_per_fu": 3.6
}



{
  "formula": "K2YW",
  "functional": "GGA-PBE",
  "state": "optimized geometry",
  "lattice_angstrom": [[-2.237, 2.237, 6.529], [2.237, -2.237, 6.529], [2.237, 2.237, -6.529]],
  "species": ["K", "K", "Y", "W"],
  "fractional_positions": [[0.250, 0.750, 0.500], [0.750, 0.250, 0.500], [0.000, 0.000, 0.000], [0.500, 0.500, 0.000]],
  "dft_energy_ev_per_atom": -3.999,
  "space_group": "No. 139",
  "n_ef_per_ev_cell": 4.53,
  "de_polymorph_mev_per_atom": 456.4,
  "crystal_system": "tetragonal",
  "ef_ev_per_fu": 5.6
}



{
  "formula": "KYW2",
  "functional": "GGA-PBE",
  "state": "optimized geometry",
  "lattice_angstrom": [[2.858, 0.000, 0.000], [0.000, 5.165, 0.000], [-0.514, 0.000, 7.434]],
  "species": ["K", "Y", "W", "W"],
  "fractional_positions": [[0.000, 0.000, 0.000], [0.000, 0.000, 0.500], [0.426, 0.500, 0.655], [0.574, 0.500, 0.345]],
  "dft_energy_ev_per_atom": -7.278,
  "space_group": "No. 10",
  "n_ef_per_ev_cell": 4.78,
  "de_polymorph_mev_per_atom": 417.4,
  "crystal_system": "monoclinic",
  "ef_ev_per_fu": 4.4
}



{
  "formula": "KY2W",
  "functional": "GGA-PBE",
  "state": "optimized geometry",
  "lattice_angstrom": [[1.899, -2.536, 0.000], [1.899, 2.536, 0.000], [0.000, 0.000, 11.931]],
  "species": ["K", "Y", "Y", "W"],
  "fractional_positions": [[0.000, 0.000, 0.000], [0.000, 0.000, 0.568], [0.500, 0.500, 0.308], [0.500, 0.500, 0.750]],
  "dft_energy_ev_per_atom": -5.858,
  "space_group": "No. 35",
  "n_ef_per_ev_cell": 3.86,
  "de_polymorph_mev_per_atom": 407.8,
  "crystal_system": "orthorhombic",
  "ef_ev_per_fu": 3.5
}



{
  "formula": "K2YW",
  "functional": "GGA-PBE",
  "state": "optimized geometry",
  "lattice_angstrom": [[4.476, 0.000, 0.000], [0.000, 4.476, 0.000], [0.000, 0.000, 6.494]],
  "species": ["K", "K", "Y", "W"],
  "fractional_positions": [[0.000, 0.500, 0.000], [0.500, 0.000, 0.000], [0.000, 0.000, 0.500], [0.500, 0.500, 0.500]],
  "dft_energy_ev_per_atom": -4.006,
  "space_group": "No. 123",
  "n_ef_per_ev_cell": 4.00,
  "de_polymorph_mev_per_atom": 449.4,
  "crystal_system": "tetragonal",
  "ef_ev_per_fu": 5.6
}